# 1
Material: BeZnRe2
Method: DFT, PBE-GGA
State: relaxed

Properties
Space-group type: R-3m, No. 166
ΔE_f (eV per atom): 0.246
Crystal system: trigonal

Cell lengths 8.6607, 8.6607, 8.6607 Å; angles 18.06, 18.06, 18.06 degrees
With the nearest neighbours (Å) after each atom.
Atoms (fractional coordinates):
Be  0.0000  0.0000  0.0000  6 Re 2.54, 6 Be 2.72
Zn  0.5000  0.5000  0.5000  6 Zn 2.72, 6 Re 2.75
Re  0.2551  0.2551  0.2551  3 Be 2.54, 6 Re 2.72, 3 Zn 2.75
Re  0.7449  0.7449  0.7449  3 Be 2.54, 6 Re 2.72, 3 Zn 2.75


# 2
Material: RbSrSnHg
Method: DFT, PBE-GGA
State: relaxed

Properties
Space-group type: F-43m, No. 216
ΔE_f (eV per atom): -0.257
Crystal system: cubic

Cell lengths 5.8998, 5.8998, 5.8998 Å; angles 60.00, 60.00, 60.00 degrees
With the nearest neighbours (Å) after each atom.
Atoms (fractional coordinates):
Rb  0.0000  0.0000  0.0000  4 Hg 3.61, 4 Sn 3.61
Sr  0.5000  0.5000  0.5000  4 Hg 3.61, 4 Sn 3.61
Sn  0.2500  0.2500  0.2500  4 Rb 3.61, 4 Sr 3.61
Hg  0.7500  0.7500  0.7500  4 Sr 3.61, 4 Rb 3.61


# 3
Material: NiAsW2
Method: DFT, PBE-GGA
State: relaxed

Properties
Space-group type: I-4m2, No. 119
ΔE_f (eV per atom): 0.337
Crystal system: tetragonal

Cell lengths 4.8195, 4.8195, 4.8195 Å; angles 133.16, 133.16, 68.41 degrees
With the nearest neighbours (Å) after each atom.
Atoms (fractional coordinates):
Ni  0.0000  0.0000  0.0000  8 W 2.71-2.76, 4 As 2.76
As  0.7500  0.2500  0.5000  8 W 2.71-2.76, 4 Ni 2.76
W  0.2500  0.7500  0.5000  4 As 2.71, 4 W 2.76, 4 Ni 2.76
W  0.5000  0.5000  0.0000  4 Ni 2.71, 4 As 2.76, 4 W 2.76


# 4
Material: Ba2CuAsP
Method: DFT, PBE-GGA
State: relaxed

Properties
Space-group type: Pmmn, No. 59
ΔE_f (eV per atom): -0.808
Excess energy over the best structure of this formula in the dataset (meV per atom): 0
Crystal system: orthorhombic

Cell lengths 4.1345, 8.8943, 8.0351 Å; angles 90.00, 90.00, 90.00 degrees
With the nearest neighbours (Å) after each atom.
Atoms (fractional coordinates):
Ba  0.2500  0.0242  0.2470  3 P 3.36-3.38, 3 As 3.40-3.45, 3 Cu 3.43-3.47
Ba  0.2500  0.4758  0.2470  3 P 3.36-3.38, 3 As 3.40-3.45, 3 Cu 3.43-3.47
Ba  0.7500  0.5242  0.7530  3 P 3.36-3.38, 3 As 3.40-3.45, 3 Cu 3.43-3.47
Ba  0.7500  0.9758  0.7530  3 P 3.36-3.38, 3 As 3.40-3.45, 3 Cu 3.43-3.47
Cu  0.2500  0.2500  0.5995  2 P 2.34, 1 As 2.39
Cu  0.7500  0.7500  0.4005  2 P 2.34, 1 As 2.39
As  0.2500  0.2500  0.8976  1 Cu 2.39
As  0.7500  0.7500  0.1024  1 Cu 2.39
P  0.2500  0.7500  0.5379  2 Cu 2.34
P  0.7500  0.2500  0.4621  2 Cu 2.34


# 5
Material: Rb2MoIrI6
Method: DFT, PBE-GGA
State: relaxed

Properties
Space-group type: Fm-3m, No. 225
Crystal system: cubic
Energy relative to the elements, uncorrected (eV per atom): -0.353

Cell lengths 8.0527, 8.0527, 8.0527 Å; angles 60.00, 60.00, 60.00 degrees
With the nearest neighbours (Å) after each atom.
Atoms (fractional coordinates):
Rb  0.2500  0.2500  0.2500  12 I 4.03
Rb  0.7500  0.7500  0.7500  12 I 4.03
Mo  0.0000  0.0000  0.0000  6 I 2.91
Ir  0.5000  0.5000  0.5000  6 I 2.78
I  0.2556  0.2556  0.7444  1 Ir 2.78, 1 Mo 2.91
I  0.2556  0.7444  0.2556  1 Ir 2.78, 1 Mo 2.91
I  0.2556  0.7444  0.7444  1 Ir 2.78, 1 Mo 2.91
I  0.7444  0.2556  0.2556  1 Ir 2.78, 1 Mo 2.91
I  0.7444  0.2556  0.7444  1 Ir 2.78, 1 Mo 2.91
I  0.7444  0.7444  0.2556  1 Ir 2.78, 1 Mo 2.91


# 6
Material: LaEuBi2
Method: DFT, PBE-GGA
State: relaxed

Properties
Space-group type: Fm-3m, No. 225
ΔE_f (eV per atom): -0.784
Excess energy over the best structure of this formula in the dataset (meV per atom): 90
Crystal system: cubic

Cell lengths 5.7269, 5.7269, 5.7269 Å; angles 60.00, 60.00, 60.00 degrees
With the nearest neighbours (Å) after each atom.
Atoms (fractional coordinates):
La  0.0000  0.0000  0.0000  8 Bi 3.51
Eu  0.5000  0.5000  0.5000  8 Bi 3.51
Bi  0.2500  0.2500  0.2500  4 Eu 3.51, 4 La 3.51
Bi  0.7500  0.7500  0.7500  4 Eu 3.51, 4 La 3.51


# 7
Material: TbPmCuHg
Method: DFT, PBE-GGA
State: relaxed

Properties
Space-group type: P4mm, No. 99
ΔE_f (eV per atom): -0.330
Excess energy over the best structure of this formula in the dataset (meV per atom): 0
Crystal system: tetragonal

Cell lengths 3.6089, 3.6089, 7.4929 Å; angles 90.00, 90.00, 90.00 degrees
With the nearest neighbours (Å) after each atom.
Atoms (fractional coordinates):
Tb  0.0000  0.0000  0.0000  4 Cu 3.01, 4 Hg 3.22
Pm  0.0000  0.0000  0.5425  4 Cu 3.14, 4 Hg 3.31, 1 Tb 3.43
Cu  0.5000  0.5000  0.7867  4 Tb 3.01, 4 Pm 3.14
Hg  0.5000  0.5000  0.2621  4 Tb 3.22, 4 Pm 3.31, 1 Cu 3.56


# 8
Material: SmAl7Ag5
Method: DFT, PBE-GGA
State: relaxed

Properties
Space-group type: Imm2, No. 44
ΔE_f (eV per atom): -0.190
Crystal system: orthorhombic

Cell lengths 7.0731, 7.0731, 7.0731 Å; angles 133.76, 97.56, 100.19 degrees
With the nearest neighbours (Å) after each atom.
Atoms (fractional coordinates):
Sm  0.0000  0.0000  0.0000  10 Al 3.19-3.42, 6 Ag 3.42-3.45
Al  0.2026  0.4925  0.7101  5 Ag 2.69-2.74, 2 Al 2.84-2.98
Al  0.2195  0.7195  0.5000  4 Ag 2.65, 4 Al 2.84-2.91
Al  0.3546  0.0022  0.3524  4 Al 2.75-3.08, 5 Ag 2.81-2.88
Al  0.3551  0.3551  0.0000  3 Al 2.66-2.98, 4 Ag 2.83
Al  0.6481  0.6481  0.0000  1 Al 2.66, 4 Ag 2.92
Al  0.6499  0.0022  0.6476  4 Al 2.75-3.08, 5 Ag 2.81-2.88
Al  0.7823  0.4925  0.2899  5 Ag 2.69-2.74, 2 Al 2.84-2.98
Ag  0.0038  0.4959  0.0105  7 Al 2.65-2.92, 3 Ag 2.76-2.81
Ag  0.0038  0.9933  0.5079  7 Al 2.65-2.92, 3 Ag 2.76-2.81
Ag  0.4854  0.4959  0.4921  7 Al 2.65-2.92, 3 Ag 2.76-2.81
Ag  0.4854  0.9933  0.9895  7 Al 2.65-2.92, 3 Ag 2.76-2.81
Ag  0.7810  0.2810  0.5000  6 Al 2.74-3.03, 4 Ag 2.81


# 9
Material: Cs5Tl4Sb2
Method: DFT, PBE-GGA
State: relaxed

Properties
Space-group type: C2/m, No. 12
Crystal system: monoclinic
Energy relative to the elements, uncorrected (eV per atom): -0.130

Cell lengths 7.8007, 7.8007, 10.3104 Å; angles 99.05, 99.05, 59.88 degrees
With the nearest neighbours (Å) after each atom.
Atoms (fractional coordinates):
Cs  0.0000  0.0000  0.0000  2 Sb 4.01, 2 Tl 4.08, 4 Cs 4.31
Cs  0.1481  0.6434  0.6285  4 Cs 3.86-4.31, 3 Sb 3.89-3.98, 4 Tl 3.98-4.30
Cs  0.3566  0.8519  0.3715  4 Cs 3.86-4.31, 3 Sb 3.89-3.98, 4 Tl 3.98-4.30
Cs  0.6434  0.1481  0.6285  4 Cs 3.86-4.31, 3 Sb 3.89-3.98, 4 Tl 3.98-4.30
Cs  0.8519  0.3566  0.3715  4 Cs 3.86-4.31, 3 Sb 3.89-3.98, 4 Tl 3.98-4.30
Tl  0.2926  0.2926  0.9518  1 Sb 2.89, 1 Tl 3.03
Tl  0.3270  0.3270  0.2503  1 Tl 3.03
Tl  0.6730  0.6730  0.7497  1 Tl 3.03
Tl  0.7074  0.7074  0.0482  1 Sb 2.89, 1 Tl 3.03
Sb  0.1548  0.1548  0.7026  1 Tl 2.89
Sb  0.8452  0.8452  0.2974  1 Tl 2.89


# 10
Material: InP2Cl
Method: DFT, PBE-GGA
State: relaxed

Properties
Space-group type: P4/mmm, No. 123
Excess energy over the best structure of this formula in the dataset (meV per atom): 405
Crystal system: tetragonal
Energy relative to the elements, uncorrected (eV per atom): 0.155

Cell lengths 4.9850, 4.9850, 5.7592 Å; angles 90.00, 90.00, 90.00 degrees
With the nearest neighbours (Å) after each atom.
Atoms (fractional coordinates):
In  0.0000  0.0000  0.0000  2 Cl 2.88
P  0.5000  0.5000  0.1673  1 P 1.93
P  0.5000  0.5000  0.8327  1 P 1.93
Cl  0.0000  0.0000  0.5000  2 In 2.88


# 11
Material: Sr2As2Pt
Method: DFT, PBE-GGA
State: relaxed

Properties
Space-group type: P4/mbm, No. 127
ΔE_f (eV per atom): -0.831
Excess energy over the best structure of this formula in the dataset (meV per atom): 189
Crystal system: tetragonal

Cell lengths 7.2392, 7.2392, 4.6311 Å; angles 90.00, 90.00, 90.00 degrees
With the nearest neighbours (Å) after each atom.
Atoms (fractional coordinates):
Sr  0.1723  0.3277  0.0000  6 As 3.03-3.23
Sr  0.3277  0.8277  0.0000  6 As 3.03-3.23
Sr  0.6723  0.1723  0.0000  6 As 3.03-3.23
Sr  0.8277  0.6723  0.0000  6 As 3.03-3.23
As  0.1368  0.6368  0.5000  1 As 2.80, 2 Pt 2.81, 2 Sr 3.03
As  0.3632  0.1368  0.5000  1 As 2.80, 2 Pt 2.81, 2 Sr 3.03
As  0.6368  0.8632  0.5000  1 As 2.80, 2 Pt 2.81, 2 Sr 3.03
As  0.8632  0.3632  0.5000  1 As 2.80, 2 Pt 2.81, 2 Sr 3.03
Pt  0.0000  0.0000  0.5000  4 As 2.81
Pt  0.5000  0.5000  0.5000  4 As 2.81


# 12
Material: Mn2CoBr
Method: DFT, PBE-GGA
State: relaxed

Properties
Space-group type: Imm2, No. 44
Excess energy over the best structure of this formula in the dataset (meV per atom): 180
Crystal system: orthorhombic
Energy relative to the elements, uncorrected (eV per atom): 0.405

Cell lengths 7.0639, 7.0639, 7.0639 Å; angles 154.08, 152.43, 38.20 degrees
With the nearest neighbours (Å) after each atom.
Atoms (fractional coordinates):
Mn  0.0000  0.0000  0.0000  4 Co 2.49
Mn  0.8002  0.3002  0.5000  2 Co 2.41
Co  0.4298  0.4298  0.0000  6 Mn 2.41-2.49
Br  0.1724  0.6724  0.5000  6 Mn 2.79-2.87